No. 1
This record from OQMD describes an optimized crystal structure of ZrSc2Mo. The functional is PBE-GGA. Values from VASP.

```
&SYSTEM
  ibrav = 0, nat = 4, ntyp = 3
/
ATOMIC_SPECIES
Mo 95.94 Mo.upf
Sc 44.96 Sc.upf
Zr 91.22 Zr.upf
CELL_PARAMETERS angstrom
-3.7719 -2.0740 2.2608
-3.3916 2.7709 2.1117
-4.4518 0.2900 -1.9332
ATOMIC_POSITIONS angstrom
Mo -8.7115 0.7402 1.8295
Sc -2.9038 0.2467 0.6098
Sc -5.8077 0.4934 1.2197
Zr 0.0000 0.0000 0.0000
```

Values from the calculation:
Spin magnetization in Bohr magnetons per cell: 0.013
Formation energy from the elements in eV/atom: 0.10

---

No. 2
This record from OQMD describes an optimized crystal structure of AlFeRePt. The functional is PBE-GGA. Values from VASP.

```
&SYSTEM
  ibrav = 0, nat = 4, ntyp = 4
/
ATOMIC_SPECIES
Al 26.98 Al.upf
Fe 55.84 Fe.upf
Pt 195.08 Pt.upf
Re 186.21 Re.upf
CELL_PARAMETERS angstrom
0.0000 3.0411 3.0411
3.0411 0.0000 3.0411
3.0411 3.0411 0.0000
ATOMIC_POSITIONS angstrom
Al 0.0000 0.0000 0.0000
Fe 4.5617 4.5617 4.5617
Pt 3.0411 3.0411 3.0411
Re 1.5205 1.5205 1.5205
```

Values from the calculation:
Spin magnetization in Bohr magnetons per cell: 0.672
E in eV/atom: -7.5952

---

No. 3
This record from OQMD describes an optimized crystal structure of LiPmAsO. The functional is PBE-GGA. Values from VASP.

```
&SYSTEM
  ibrav = 0, nat = 8, ntyp = 4
/
ATOMIC_SPECIES
As 74.92 As.upf
Li 6.94 Li.upf
O 16.00 O.upf
Pm 145.00 Pm.upf
CELL_PARAMETERS angstrom
3.6570 0.0000 0.0000
0.0000 7.6170 0.0000
0.0000 0.0000 5.9578
ATOMIC_POSITIONS angstrom
As 0.0000 6.2676 2.4682
As 0.0000 1.3495 5.4471
Li 1.8285 3.2238 0.2888
Li 1.8285 4.3933 3.2677
O 1.8285 2.7965 2.2242
O 1.8285 4.8206 5.2031
Pm 0.0000 1.6072 2.4898
Pm 0.0000 6.0098 5.4688
```

Values from the calculation:
Spin magnetization in Bohr magnetons per cell: 0.003
E in eV/atom: -5.7387

---

No. 4
This record from OQMD describes an optimized crystal structure of KMgZrS3. The functional is PBE-GGA. Values from VASP.

```
&SYSTEM
  ibrav = 0, nat = 12, ntyp = 4
/
ATOMIC_SPECIES
K 39.10 K.upf
Mg 24.30 Mg.upf
S 32.06 S.upf
Zr 91.22 Zr.upf
CELL_PARAMETERS angstrom
-2.4451 6.6673 4.8840
1.1958 -1.8766 3.1604
8.9795 1.1464 -2.7168
ATOMIC_POSITIONS angstrom
K 1.9660 1.7742 1.4914
K 5.7642 4.1628 3.8362
Mg 0.5110 2.6637 4.9336
Mg 7.2191 3.2733 0.3940
S -1.0455 4.3058 4.1340
S 3.8011 -0.8269 1.6162
S 2.7529 3.2458 4.4310
S 4.9772 2.6912 0.8966
S 3.9290 6.7639 3.7115
S 8.7756 1.6312 1.1936
Zr 1.6380 5.6529 3.9186
Zr 6.0921 0.2841 1.4091
```

Values from the calculation:
Spin magnetization in Bohr magnetons per cell: 1.369
E in eV/atom: -5.3310